Entry 1:
# Nd2Ge3Ir4Ru PBE-GGA relaxed
# Final energy, eV per atom: -7.451
# E_form, eV/atom: -0.6398
# Density, g cm⁻³: 12.3
# Symmetry: No. 115
data_Nd2Ge3Ir4Ru
_chemical_formula_sum 'Nd2 Ge3 Ir4 Ru1'
_symmetry_space_group_name_H-M 'P 1'
_symmetry_Int_Tables_number 1
_cell_length_a 4.2359
_cell_length_b 4.2359
_cell_length_c 10.3817
_cell_angle_alpha 90.00
_cell_angle_beta 90.00
_cell_angle_gamma 90.00
loop_
_symmetry_equiv_pos_as_xyz
'x,y,z'
loop_
_atom_site_label
_atom_site_type_symbol
_atom_site_fract_x
_atom_site_fract_y
_atom_site_fract_z
Nd1 Nd 0.0000 0.5000 0.2473
Nd2 Nd 0.5000 0.0000 0.7527
Ge1 Ge 0.0000 0.5000 0.8688
Ge2 Ge 0.5000 0.0000 0.1312
Ge3 Ge 0.5000 0.5000 0.5000
Ir1 Ir 0.0000 0.0000 0.0000
Ir2 Ir 0.0000 0.5000 0.6314
Ir3 Ir 0.5000 0.0000 0.3686
Ir4 Ir 0.5000 0.5000 0.0000
Ru1 Ru 0.0000 0.0000 0.5000

---

Entry 2:
# Nd2Ge3SbIr4 PBE-GGA relaxed
# Final energy, eV per atom: -7.010
# Density, g cm⁻³: 11.9
# Symmetry: No. 115
# Energy relative to the elements, uncorrected, eV/atom: -0.715
data_Nd2Ge3SbIr4
_chemical_formula_sum 'Nd2 Ge3 Sb1 Ir4'
_symmetry_space_group_name_H-M 'P 1'
_symmetry_Int_Tables_number 1
_cell_length_a 4.3175
_cell_length_b 4.3175
_cell_length_c 10.4242
_cell_angle_alpha 90.00
_cell_angle_beta 90.00
_cell_angle_gamma 90.00
loop_
_symmetry_equiv_pos_as_xyz
'x,y,z'
loop_
_atom_site_label
_atom_site_type_symbol
_atom_site_fract_x
_atom_site_fract_y
_atom_site_fract_z
Nd1 Nd 0.0000 0.5000 0.2452
Nd2 Nd 0.5000 0.0000 0.7548
Ge1 Ge 0.0000 0.5000 0.8725
Ge2 Ge 0.5000 0.0000 0.1275
Ge3 Ge 0.5000 0.5000 0.5000
Sb1 Sb 0.0000 0.0000 0.5000
Ir1 Ir 0.0000 0.0000 0.0000
Ir2 Ir 0.0000 0.5000 0.6372
Ir3 Ir 0.5000 0.0000 0.3628
Ir4 Ir 0.5000 0.5000 0.0000

---

Entry 3:
# Nd2Sn3GeIr4 PBE-GGA relaxed
# Final energy, eV per atom: -6.731
# E_form, eV/atom: -0.5702
# Density, g cm⁻³: 11.6
# Symmetry: No. 115
data_Nd2Sn3GeIr4
_chemical_formula_sum 'Nd2 Sn3 Ge1 Ir4'
_symmetry_space_group_name_H-M 'P 1'
_symmetry_Int_Tables_number 1
_cell_length_a 4.4483
_cell_length_b 4.4483
_cell_length_c 10.7343
_cell_angle_alpha 90.00
_cell_angle_beta 90.00
_cell_angle_gamma 90.00
loop_
_symmetry_equiv_pos_as_xyz
'x,y,z'
loop_
_atom_site_label
_atom_site_type_symbol
_atom_site_fract_x
_atom_site_fract_y
_atom_site_fract_z
Nd1 Nd 0.0000 0.5000 0.2435
Nd2 Nd 0.5000 0.0000 0.7565
Sn1 Sn 0.0000 0.0000 0.0000
Sn2 Sn 0.0000 0.5000 0.6346
Sn3 Sn 0.5000 0.0000 0.3654
Ge1 Ge 0.5000 0.5000 0.0000
Ir1 Ir 0.0000 0.0000 0.5000
Ir2 Ir 0.0000 0.5000 0.8762
Ir3 Ir 0.5000 0.0000 0.1238
Ir4 Ir 0.5000 0.5000 0.5000

---

Entry 4:
# Nd2TaGe4Ir3 PBE-GGA relaxed
# Final energy, eV per atom: -7.302
# E_form, eV/atom: -0.6581
# Density, g cm⁻³: 11.5
# Symmetry: No. 115
data_Nd2TaGe4Ir3
_chemical_formula_sum 'Nd2 Ta1 Ge4 Ir3'
_symmetry_space_group_name_H-M 'P 1'
_symmetry_Int_Tables_number 1
_cell_length_a 4.2200
_cell_length_b 4.2200
_cell_length_c 10.8009
_cell_angle_alpha 90.00
_cell_angle_beta 90.00
_cell_angle_gamma 90.00
loop_
_symmetry_equiv_pos_as_xyz
'x,y,z'
loop_
_atom_site_label
_atom_site_type_symbol
_atom_site_fract_x
_atom_site_fract_y
_atom_site_fract_z
Nd1 Nd 0.0000 0.5000 0.2409
Nd2 Nd 0.5000 0.0000 0.7591
Ta1 Ta 0.0000 0.0000 0.5000
Ge1 Ge 0.0000 0.0000 0.0000
Ge2 Ge 0.0000 0.5000 0.6469
Ge3 Ge 0.5000 0.0000 0.3531
Ge4 Ge 0.5000 0.5000 0.0000
Ir1 Ir 0.0000 0.5000 0.8769
Ir2 Ir 0.5000 0.0000 0.1231
Ir3 Ir 0.5000 0.5000 0.5000

---

Entry 5:
# TbNdGeIr PBE-GGA relaxed
# Final energy, eV per atom: -6.518
# E_form, eV/atom: -0.7984
# Density, g cm⁻³: 10.0
# Symmetry: No. 38
data_TbNdGeIr
_chemical_formula_sum 'Tb2 Nd2 Ge2 Ir2'
_symmetry_space_group_name_H-M 'P 1'
_symmetry_Int_Tables_number 1
_cell_length_a 4.1403
_cell_length_b 4.2020
_cell_length_c 10.8601
_cell_angle_alpha 90.00
_cell_angle_beta 90.00
_cell_angle_gamma 90.00
loop_
_symmetry_equiv_pos_as_xyz
'x,y,z'
loop_
_atom_site_label
_atom_site_type_symbol
_atom_site_fract_x
_atom_site_fract_y
_atom_site_fract_z
Tb1 Tb 0.0000 0.0000 0.0000
Tb2 Tb 0.0000 0.5000 0.5000
Nd1 Nd 0.5000 0.0000 0.7190
Nd2 Nd 0.5000 0.5000 0.2190
Ge1 Ge 0.0000 0.0000 0.2953
Ge2 Ge 0.0000 0.5000 0.7953
Ir1 Ir 0.5000 0.0000 0.4436
Ir2 Ir 0.5000 0.5000 0.9436

---

Entry 6:
# TbNd2Ge3Ir4 PBE-GGA relaxed
# Final energy, eV per atom: -7.124
# E_form, eV/atom: -0.7774
# Density, g cm⁻³: 11.9
# Symmetry: No. 115
data_TbNd2Ge3Ir4
_chemical_formula_sum 'Tb1 Nd2 Ge3 Ir4'
_symmetry_space_group_name_H-M 'P 1'
_symmetry_Int_Tables_number 1
_cell_length_a 4.2073
_cell_length_b 4.2073
_cell_length_c 11.2721
_cell_angle_alpha 90.00
_cell_angle_beta 90.00
_cell_angle_gamma 90.00
loop_
_symmetry_equiv_pos_as_xyz
'x,y,z'
loop_
_atom_site_label
_atom_site_type_symbol
_atom_site_fract_x
_atom_site_fract_y
_atom_site_fract_z
Tb1 Tb 0.0000 0.0000 0.0000
Nd1 Nd 0.0000 0.5000 0.7296
Nd2 Nd 0.5000 0.0000 0.2704
Ge1 Ge 0.0000 0.5000 0.3787
Ge2 Ge 0.5000 0.0000 0.6213
Ge3 Ge 0.5000 0.5000 0.0000
Ir1 Ir 0.0000 0.0000 0.5000
Ir2 Ir 0.0000 0.5000 0.1600
Ir3 Ir 0.5000 0.0000 0.8400
Ir4 Ir 0.5000 0.5000 0.5000

---

Entry 7:
# Nd2TcGe6Ir PBE-GGA relaxed
# Final energy, eV per atom: -5.976
# E_form, eV/atom: -0.3291
# Density, g cm⁻³: 7.9
# Symmetry: No. 59
data_Nd2TcGe6Ir
_chemical_formula_sum 'Nd4 Tc2 Ge12 Ir2'
_symmetry_space_group_name_H-M 'P 1'
_symmetry_Int_Tables_number 1
_cell_length_a 6.4596
_cell_length_b 8.8028
_cell_length_c 7.4889
_cell_angle_alpha 90.00
_cell_angle_beta 90.00
_cell_angle_gamma 90.00
loop_
_symmetry_equiv_pos_as_xyz
'x,y,z'
loop_
_atom_site_label
_atom_site_type_symbol
_atom_site_fract_x
_atom_site_fract_y
_atom_site_fract_z
Nd1 Nd 0.2500 0.9997 0.2430
Nd2 Nd 0.2500 0.5003 0.2430
Nd3 Nd 0.7500 0.0003 0.7570
Nd4 Nd 0.7500 0.4997 0.7570
Tc1 Tc 0.2500 0.2500 0.8485
Tc2 Tc 0.7500 0.7500 0.1515
Ge1 Ge 0.0483 0.7500 0.9506
Ge2 Ge 0.0586 0.2500 0.5529
Ge3 Ge 0.2500 0.5245 0.8086
Ge4 Ge 0.2500 0.9755 0.8086
Ge5 Ge 0.4414 0.2500 0.5529
Ge6 Ge 0.4517 0.7500 0.9506
Ge7 Ge 0.5483 0.2500 0.0494
Ge8 Ge 0.5586 0.7500 0.4471
Ge9 Ge 0.7500 0.0245 0.1914
Ge10 Ge 0.7500 0.4755 0.1914
Ge11 Ge 0.9414 0.7500 0.4471
Ge12 Ge 0.9517 0.2500 0.0494
Ir1 Ir 0.2500 0.7500 0.6131
Ir2 Ir 0.7500 0.2500 0.3869

---

Entry 8:
# NdTcGe2Ir PBE-GGA relaxed
# Final energy, eV per atom: -7.274
# E_form, eV/atom: -0.6283
# Density, g cm⁻³: 10.2
# Symmetry: No. 119
data_NdTcGe2Ir
_chemical_formula_sum 'Nd2 Tc2 Ge4 Ir2'
_symmetry_space_group_name_H-M 'P 1'
_symmetry_Int_Tables_number 1
_cell_length_a 4.3110
_cell_length_b 4.3110
_cell_length_c 10.1498
_cell_angle_alpha 90.00
_cell_angle_beta 90.00
_cell_angle_gamma 90.00
loop_
_symmetry_equiv_pos_as_xyz
'x,y,z'
loop_
_atom_site_label
_atom_site_type_symbol
_atom_site_fract_x
_atom_site_fract_y
_atom_site_fract_z
Nd1 Nd 0.0000 0.0000 0.0000
Nd2 Nd 0.5000 0.5000 0.5000
Tc1 Tc 0.0000 0.5000 0.2500
Tc2 Tc 0.5000 0.0000 0.7500
Ge1 Ge 0.0000 0.0000 0.3701
Ge2 Ge 0.0000 0.0000 0.6299
Ge3 Ge 0.5000 0.5000 0.1299
Ge4 Ge 0.5000 0.5000 0.8701
Ir1 Ir 0.0000 0.5000 0.7500
Ir2 Ir 0.5000 0.0000 0.2500

---

Entry 9:
# Nd8Ge3Te4Ir PBE-GGA relaxed
# Final energy, eV per atom: -5.733
# Density, g cm⁻³: 7.1
# Symmetry: No. 166
# Energy relative to the elements, uncorrected, eV/atom: -1.144
data_Nd8Ge3Te4Ir
_chemical_formula_sum 'Nd8 Ge3 Te4 Ir1'
_symmetry_space_group_name_H-M 'P 1'
_symmetry_Int_Tables_number 1
_cell_length_a 8.9230
_cell_length_b 8.9230
_cell_length_c 8.9230
_cell_angle_alpha 58.43
_cell_angle_beta 58.43
_cell_angle_gamma 58.43
loop_
_symmetry_equiv_pos_as_xyz
'x,y,z'
loop_
_atom_site_label
_atom_site_type_symbol
_atom_site_fract_x
_atom_site_fract_y
_atom_site_fract_z
Nd1 Nd 0.2427 0.2427 0.2427
Nd2 Nd 0.2445 0.7364 0.7364
Nd3 Nd 0.2636 0.2636 0.7555
Nd4 Nd 0.2636 0.7555 0.2636
Nd5 Nd 0.7364 0.2445 0.7364
Nd6 Nd 0.7364 0.7364 0.2445
Nd7 Nd 0.7555 0.2636 0.2636
Nd8 Nd 0.7573 0.7573 0.7573
Ge1 Ge 0.0000 0.0000 0.5000
Ge2 Ge 0.0000 0.5000 0.0000
Ge3 Ge 0.5000 0.0000 0.0000
Te1 Te 0.0000 0.0000 0.0000
Te2 Te 0.0000 0.5000 0.5000
Te3 Te 0.5000 0.0000 0.5000
Te4 Te 0.5000 0.5000 0.0000
Ir1 Ir 0.5000 0.5000 0.5000

---

Entry 10:
# NdTmGeIr PBE-GGA relaxed
# Final energy, eV per atom: -6.485
# E_form, eV/atom: -0.8054
# Density, g cm⁻³: 10.4
# Symmetry: No. 38
data_NdTmGeIr
_chemical_formula_sum 'Nd2 Tm2 Ge2 Ir2'
_symmetry_space_group_name_H-M 'P 1'
_symmetry_Int_Tables_number 1
_cell_length_a 4.0784
_cell_length_b 4.1667
_cell_length_c 10.8940
_cell_angle_alpha 90.00
_cell_angle_beta 90.00
_cell_angle_gamma 90.00
loop_
_symmetry_equiv_pos_as_xyz
'x,y,z'
loop_
_atom_site_label
_atom_site_type_symbol
_atom_site_fract_x
_atom_site_fract_y
_atom_site_fract_z
Nd1 Nd 0.0000 0.0000 0.0000
Nd2 Nd 0.0000 0.5000 0.5000
Tm1 Tm 0.5000 0.0000 0.2809
Tm2 Tm 0.5000 0.5000 0.7809
Ge1 Ge 0.5000 0.0000 0.5789
Ge2 Ge 0.5000 0.5000 0.0789
Ir1 Ir 0.0000 0.0000 0.7282
Ir2 Ir 0.0000 0.5000 0.2282

---

Which value of density does entry 10 give? 10.4 g cm⁻³

---

Look up the final energy of the third one. -6.731 eV per atom

---

Look up the density of the third one. 11.6 g cm⁻³

---

Among the records above, which one has the highest final energy? Nd8Ge3Te4Ir